## CsPSe2 (PBE-GGA)

Data for a relaxed CsPSe2 crystal.

Lattice parameters (Å, degrees): 7.7488 7.7488 7.4015 58.44 58.44 90.00
Closest atoms and distances in Å follow each position.
Fractional coordinates of all 8 atoms:
Cs (0.0000, 0.0000, 0.0000)  8 Se 3.86-4.28
Cs (0.7500, 0.2500, 0.5000)  8 Se 3.86-4.28
P (0.5000, 0.5000, 0.0000)  4 Se 2.43
P (0.2500, 0.7500, 0.5000)  4 Se 2.43
Se (0.4757, 0.1250, 0.2500)  2 P 2.43
Se (0.2743, 0.6250, 0.2500)  2 P 2.43
Se (0.3750, 0.5243, 0.7500)  2 P 2.43
Se (0.8750, 0.7257, 0.7500)  2 P 2.43

Calculated values
formation energy without anion corrections	-0.4197	eV per atom
total DFT energy (no corrections)	-3.728	eV per atom
space group	I-42d, No. 122